# MnI2NO

A geometry-optimized MnI2NO structure (PBE with a Hubbard U, Alexandria via LeMat-Bulk).

Lattice parameters (Å, degrees): 5.0503 5.0503 3.7792 90.00 90.00 90.00
Element x y z (fractional)
Mn (0.0000, 0.0000, 0.0000)
I (0.0000, 0.5000, 0.5000)
I (0.5000, 0.0000, 0.5000)
N (0.5000, 0.5000, 0.5000)
O (0.5000, 0.5000, 0.0000)

# MnI2NO

A geometry-optimized MnI2NO structure (PBE with a Hubbard U, Alexandria via LeMat-Bulk).

Lattice parameters (Å, degrees): 5.7289 5.7289 3.6805 90.00 90.00 90.00
Element x y z (fractional)
Mn (0.0000, 0.0000, 0.0000)
I (0.0000, 0.5000, 0.0000)
I (0.5000, 0.0000, 0.0000)
N (0.0000, 0.0000, 0.5000)
O (0.5000, 0.5000, 0.5000)

no.,mass density (g cm⁻³),offset from the most stable computed form (eV/atom)
1,5.84,0.106
2,4.66,0.000